(1)
A plane-wave DFT calculation with PBE was carried out for a relaxed La6Ge3Ir crystal.

Structure (extended XYZ):
```
20
Lattice="4.258 0.000 0.000 0.000 10.332 -4.117 0.000 0.186 13.512" Properties=species:S:1:pos:R:3 pbc="T T T"
La 3.194 5.173 6.507
La 1.065 5.345 2.887
La 3.194 8.685 -1.876
La 1.065 1.833 11.270
La 3.194 4.311 -0.484
La 1.065 6.207 9.878
La 3.194 7.902 1.311
La 1.065 2.616 8.084
La 3.194 1.146 5.395
La 1.065 9.372 4.000
La 3.194 8.983 7.030
La 1.065 1.534 2.364
Ge 3.194 4.003 9.962
Ge 1.065 6.515 -0.567
Ge 3.194 7.111 4.259
Ge 1.065 3.407 5.135
Ge 3.194 0.855 0.075
Ge 1.065 9.662 9.319
Ir 3.194 0.826 9.176
Ir 1.065 9.692 0.218
```

Output
Raw total energy   -5.846 eV per atom
Calculated formation energy   -0.6186 eV/atom
Total moment   0.5 μB/f.u.

=====

(2)
A plane-wave DFT calculation with PBE was carried out for a relaxed LaGe4Ir2 crystal.

Structure (extended XYZ):
```
28
Lattice="4.332 0.000 0.000 0.000 6.740 0.000 0.000 0.000 17.611" Properties=species:S:1:pos:R:3 pbc="T T T"
Ge 1.083 1.936 12.219
Ge 3.249 4.803 5.392
Ge 3.249 5.306 14.197
Ge 1.083 1.433 3.414
Ge 1.083 4.707 12.014
Ge 3.249 2.032 5.597
Ge 3.249 1.337 14.403
Ge 1.083 5.402 3.208
Ge 1.083 0.939 9.364
Ge 3.249 5.800 8.247
Ge 3.249 4.309 17.053
Ge 1.083 2.431 0.558
Ge 1.083 3.164 7.638
Ge 3.249 3.576 9.972
Ge 3.249 6.533 1.167
Ge 1.083 0.206 16.444
Ir 1.083 5.026 9.373
Ir 3.249 1.713 8.238
Ir 3.249 1.657 17.043
Ir 1.083 5.083 0.568
Ir 1.083 6.676 13.912
Ir 3.249 0.064 3.699
Ir 3.249 3.306 12.504
Ir 1.083 3.433 5.107
La 3.249 0.039 11.296
La 1.083 6.700 6.315
La 1.083 3.409 15.121
La 3.249 3.331 2.490
```

Output
Raw total energy   -6.490 eV per atom
Calculated formation energy   -0.6161 eV/atom
Total moment   0.0 μB/f.u.